LiTcAg2: relaxed, GGA-PBE.

Calculated values
Energy above the most stable polymorph in this dataset: 99 meV/atom

```
LiTcAg2
1.0
2.657 0.000 0.000
0.000 4.271 0.000
-0.778 0.000 5.673
Li Tc Ag
1 1 2
Direct
0.000 0.000 0.000
0.000 0.000 0.500
0.439 0.500 0.248
0.561 0.500 0.752
```

***

VZnReAs2: relaxed, GGA-PBE.

Calculated values
Electronic total energy: -5.206 eV per atom

```
VZnReAs2
1.0
4.654 0.000 0.000
0.000 4.654 0.000
0.000 0.000 4.765
V Zn Re As
1 1 1 2
Direct
0.000 0.000 0.000
0.000 0.000 0.500
0.500 0.500 0.500
0.000 0.500 0.000
0.500 0.000 0.000
```

***

YHoSb: relaxed, GGA-PBE.

Calculated values
Uncorrected formation energy: -0.437 eV/atom

```
YHoSb
1.0
5.045 0.000 0.000
-2.523 4.369 0.000
0.000 0.000 3.994
Y Ho Sb
1 1 1
Direct
0.000 0.000 0.000
0.333 0.667 0.525
0.667 0.333 0.294
```

***

Y3Zr: relaxed, GGA-PBE.

Calculated values
Energy above the most stable polymorph in this dataset: 11 meV/atom

```
Y3Zr
1.0
3.447 0.000 0.000
0.000 3.447 0.000
0.000 0.000 9.940
Y Zr
3 1
Direct
0.000 0.000 0.000
0.500 0.500 0.270
0.500 0.500 0.730
0.000 0.000 0.500
```